No. 1
Here is crystalline Y4Ni2Pd at its relaxed geometry from Alexandria. Energies are from GGA-PBE.

## Properties
As for the energy: -6.520 eV/atom. Its formation energy is -0.432 eV/atom. The value obtained for the density of states at the Fermi level is 0.639 states/eV/atom.

```
data_Y4Ni2Pd
_chemical_formula_sum 'Y8 Ni4 Pd2'
_space_group_name_H-M_alt 'P 1'
_space_group_IT_number 1
_cell_length_a 7.4695
_cell_length_b 7.4767
_cell_length_c 7.4801
_cell_angle_alpha 108.89
_cell_angle_beta 110.61
_cell_angle_gamma 108.83
loop_
_space_group_symop_operation_xyz
'x,y,z'
loop_
_atom_site_label
_atom_site_type_symbol
_atom_site_fract_x
_atom_site_fract_y
_atom_site_fract_z
Y1 Y 0.0000 0.0000 0.0000
Y2 Y 0.0034 0.4994 0.9957
Y3 Y 0.1203 0.2461 0.6195
Y4 Y 0.3937 0.6284 0.5141
Y5 Y 0.5126 0.1214 0.8856
Y6 Y 0.5189 0.1289 0.3902
Y7 Y 0.6238 0.7459 0.1164
Y8 Y 0.8901 0.6226 0.5096
Ni1 Ni 0.2570 0.7497 0.8792
Ni2 Ni 0.6365 0.5018 0.7543
Ni3 Ni 0.7584 0.0015 0.6328
Ni4 Ni 0.8824 0.2501 0.2530
Pd1 Pd 0.1338 0.8741 0.3782
Pd2 Pd 0.3826 0.3743 0.1299
```

=====

No. 2
Here is crystalline Ho5Bi2Sb2 at its relaxed geometry from Alexandria. Energies are from GGA-PBE.

## Properties
The formation energy without anion corrections comes out at -0.8671 eV per atom. As for the energy: -5.189 eV/atom. The value obtained for the density of states at the Fermi level is 1.026 states/eV/atom.

```
data_Ho5Bi2Sb2
_chemical_formula_sum 'Ho20 Bi8 Sb8'
_space_group_name_H-M_alt 'C m c e'
_space_group_IT_number 64
_space_group_name_Hall '-C 2ac 2'
_cell_length_a 15.4695
_cell_length_b 8.1413
_cell_length_c 8.2082
_cell_angle_alpha 90.00
_cell_angle_beta 90.00
_cell_angle_gamma 90.00
loop_
_atom_site_label
_atom_site_type_symbol
_atom_site_fract_x
_atom_site_fract_y
_atom_site_fract_z
Ho1 Ho 0.0000 0.0000 0.0000
Ho2 Ho 0.1323 0.1578 0.3410
Bi1 Bi 0.2017 0.0000 0.0000
Sb1 Sb 0.0000 0.1440 0.6430
```

=====

No. 3
Here is crystalline Cd3SbI2 at its relaxed geometry from Alexandria. Energies are from GGA-PBE.

## Properties
The formation energy without anion corrections comes out at -0.2168 eV per atom. As for the energy: -1.878 eV/atom. The value obtained for the density of states at the Fermi level is 0.154 states/eV/atom.

```
data_Cd3SbI2
_chemical_formula_sum 'Cd12 Sb4 I8'
_space_group_name_H-M_alt 'C 1 2/c 1'
_space_group_IT_number 15
_cell_length_a 8.0255
_cell_length_b 13.2125
_cell_length_c 7.8698
_cell_angle_alpha 90.00
_cell_angle_beta 112.85
_cell_angle_gamma 90.00
loop_
_space_group_symop_operation_xyz
'x,y,z'
'-x,-y,-z'
'-x,y,-z+1/2'
'x,-y,z+1/2'
'x+1/2,y+1/2,z'
'-x+1/2,-y+1/2,-z'
'-x+1/2,y+1/2,-z+1/2'
'x+1/2,-y+1/2,z+1/2'
loop_
_atom_site_label
_atom_site_type_symbol
_atom_site_fract_x
_atom_site_fract_y
_atom_site_fract_z
Cd1 Cd 0.1948 0.0686 0.0052
Cd2 Cd 0.2500 0.2500 0.5000
Sb1 Sb 0.0000 0.1003 0.2500
I1 I 0.0000 0.2585 0.7500
I2 I 0.0000 0.4228 0.2500
```

=====

No. 4
Here is crystalline La2Si2O7 at its relaxed geometry from Alexandria. Energies are from GGA-PBE.

## Properties
The formation energy without anion corrections comes out at -3.2307 eV per atom. As for the energy: -8.268 eV/atom. The value obtained for the density of states at the Fermi level is 0.000 states/eV/atom.

```
data_La2Si2O7
_chemical_formula_sum 'La8 Si8 O28'
_space_group_name_H-M_alt 'P 1 21/c 1'
_space_group_IT_number 14
_cell_length_a 5.5295
_cell_length_b 8.8446
_cell_length_c 14.3393
_cell_angle_alpha 90.00
_cell_angle_beta 112.45
_cell_angle_gamma 90.00
loop_
_space_group_symop_operation_xyz
'x,y,z'
'-x,-y,-z'
'-x,y+1/2,-z+1/2'
'x,-y+1/2,z+1/2'
loop_
_atom_site_label
_atom_site_type_symbol
_atom_site_fract_x
_atom_site_fract_y
_atom_site_fract_z
La1 La 0.0179 0.1885 0.2665
La2 La 0.3319 0.1080 0.5892
Si1 Si 0.2504 0.7455 0.0264
Si2 Si 0.4565 0.5056 0.6793
O1 O 0.0627 0.7423 0.9069
O2 O 0.0832 0.6448 0.0802
O3 O 0.2605 0.0879 0.7597
O4 O 0.2815 0.5230 0.7497
O5 O 0.2991 0.5802 0.5678
O6 O 0.4675 0.6704 0.3298
O7 O 0.4730 0.1533 0.4476
```

=====

No. 5
Here is crystalline Na3Tb3HfS8 at its relaxed geometry from Alexandria. Energies are from GGA-PBE.

## Properties
The formation energy without anion corrections comes out at -1.7939 eV per atom. As for the energy: -5.849 eV/atom. The value obtained for the density of states at the Fermi level is 0.000 states/eV/atom.

```
data_Na3Tb3HfS8
_chemical_formula_sum 'Na9 Tb9 Hf3 S24'
_space_group_name_H-M_alt 'R -3 m'
_space_group_IT_number 166
_space_group_name_Hall '-R 3 2"'
_cell_length_a 7.8753
_cell_length_b 7.8753
_cell_length_c 20.2592
_cell_angle_alpha 90.00
_cell_angle_beta 90.00
_cell_angle_gamma 120.00
loop_
_atom_site_label
_atom_site_type_symbol
_atom_site_fract_x
_atom_site_fract_y
_atom_site_fract_z
Na1 Na 0.0000 0.5000 0.0000
Tb1 Tb 0.0000 0.5000 0.5000
Hf1 Hf 0.0000 0.0000 0.5000
S1 S 0.0000 0.0000 0.2426
S2 S 0.0204 0.5102 0.2386
```

=====

No. 6
Here is crystalline NaCaPt at its relaxed geometry from Alexandria. Energies are from GGA-PBE.

## Properties
As for the energy: -3.521 eV/atom. Its formation energy is -0.400 eV/atom. The value obtained for the density of states at the Fermi level is 0.916 states/eV/atom.

```
data_NaCaPt
_chemical_formula_sum 'Na4 Ca4 Pt4'
_space_group_name_H-M_alt 'F -4 3 m'
_space_group_IT_number 216
_space_group_name_Hall 'F -4 2 3'
_cell_length_a 6.8589
_cell_length_b 6.8589
_cell_length_c 6.8589
_cell_angle_alpha 90.00
_cell_angle_beta 90.00
_cell_angle_gamma 90.00
loop_
_atom_site_label
_atom_site_type_symbol
_atom_site_fract_x
_atom_site_fract_y
_atom_site_fract_z
Na1 Na 0.0000 0.0000 0.0000
Ca1 Ca 0.0000 0.0000 0.5000
Pt1 Pt 0.2500 0.2500 0.7500
```

=====

No. 7
Here is crystalline Be2ZnCl at its relaxed geometry from Alexandria. Energies are from GGA-PBE.

## Properties
The formation energy without anion corrections comes out at 0.9944 eV per atom. As for the energy: -1.649 eV/atom. The value obtained for the density of states at the Fermi level is 1.846 states/eV/atom.

```
data_Be2ZnCl
_chemical_formula_sum 'Be8 Zn4 Cl4'
_space_group_name_H-M_alt 'F m -3 m'
_space_group_IT_number 225
_space_group_name_Hall '-F 4 2 3'
_cell_length_a 6.3058
_cell_length_b 6.3058
_cell_length_c 6.3058
_cell_angle_alpha 90.00
_cell_angle_beta 90.00
_cell_angle_gamma 90.00
loop_
_atom_site_label
_atom_site_type_symbol
_atom_site_fract_x
_atom_site_fract_y
_atom_site_fract_z
Be1 Be 0.2500 0.2500 0.2500
Zn1 Zn 0.0000 0.0000 0.0000
Cl1 Cl 0.0000 0.0000 0.5000
```

=====

No. 8
Here is crystalline NaLa3S at its relaxed geometry from Alexandria. Energies are from GGA-PBE.

## Properties
The formation energy without anion corrections comes out at -0.6323 eV per atom. As for the energy: -4.678 eV/atom. The value obtained for the density of states at the Fermi level is 1.411 states/eV/atom.

```
data_NaLa3S
_chemical_formula_sum 'Na1 La3 S1'
_space_group_name_H-M_alt 'P m -3 m'
_space_group_IT_number 221
_space_group_name_Hall '-P 4 2 3'
_cell_length_a 5.6324
_cell_length_b 5.6324
_cell_length_c 5.6324
_cell_angle_alpha 90.00
_cell_angle_beta 90.00
_cell_angle_gamma 90.00
loop_
_atom_site_label
_atom_site_type_symbol
_atom_site_fract_x
_atom_site_fract_y
_atom_site_fract_z
Na1 Na 0.0000 0.0000 0.0000
La1 La 0.0000 0.5000 0.5000
S1 S 0.5000 0.5000 0.5000
```

=====

No. 9
Here is crystalline Rb2SiI4 at its relaxed geometry from Alexandria. Energies are from GGA-PBE.

## Properties
The formation energy without anion corrections comes out at -0.8671 eV per atom. As for the energy: -2.804 eV/atom. The value obtained for the density of states at the Fermi level is 0.011 states/eV/atom.

```
data_Rb2SiI4
_chemical_formula_sum 'Rb4 Si2 I8'
_space_group_name_H-M_alt 'I 4/m m m'
_space_group_IT_number 139
_space_group_name_Hall '-I 4 2'
_cell_length_a 5.8083
_cell_length_b 5.8083
_cell_length_c 18.5920
_cell_angle_alpha 90.00
_cell_angle_beta 90.00
_cell_angle_gamma 90.00
loop_
_atom_site_label
_atom_site_type_symbol
_atom_site_fract_x
_atom_site_fract_y
_atom_site_fract_z
Rb1 Rb 0.0000 0.0000 0.1399
Si1 Si 0.0000 0.0000 0.5000
I1 I 0.0000 0.0000 0.3396
I2 I 0.0000 0.5000 0.0000
```

=====

No. 10
Here is crystalline NaPbClO at its relaxed geometry from Alexandria. Energies are from GGA-PBE.

## Properties
The formation energy without anion corrections comes out at -1.3219 eV per atom. As for the energy: -4.280 eV/atom. The value obtained for the density of states at the Fermi level is 0.000 states/eV/atom.

```
data_NaPbClO
_chemical_formula_sum 'Na2 Pb2 Cl2 O2'
_space_group_name_H-M_alt 'P 63 m c'
_space_group_IT_number 186
_space_group_name_Hall 'P 6c -2c'
_cell_length_a 3.8865
_cell_length_b 3.8865
_cell_length_c 14.2395
_cell_angle_alpha 90.00
_cell_angle_beta 90.00
_cell_angle_gamma 120.00
loop_
_atom_site_label
_atom_site_type_symbol
_atom_site_fract_x
_atom_site_fract_y
_atom_site_fract_z
Na1 Na 0.0000 0.0000 0.0000
Pb1 Pb 0.3333 0.6667 0.2775
Cl1 Cl 0.3333 0.6667 0.5988
O1 O 0.0000 0.0000 0.3413
```

=====

No. 11
Here is crystalline Li12Mg6Ni at its relaxed geometry from Alexandria. Energies are from GGA-PBE.

## Properties
As for the energy: -2.025 eV/atom. Its formation energy is -0.008 eV/atom. The value obtained for the density of states at the Fermi level is 0.464 states/eV/atom.

```
data_Li12Mg6Ni
_chemical_formula_sum 'Li36 Mg18 Ni3'
_space_group_name_H-M_alt 'R -3'
_space_group_IT_number 148
_space_group_name_Hall '-R 3'
_cell_length_a 10.3321
_cell_length_b 10.3321
_cell_length_c 12.3636
_cell_angle_alpha 90.00
_cell_angle_beta 90.00
_cell_angle_gamma 120.00
loop_
_atom_site_label
_atom_site_type_symbol
_atom_site_fract_x
_atom_site_fract_y
_atom_site_fract_z
Li1 Li 0.0412 0.8636 0.3133
Li2 Li 0.0633 0.2072 0.9081
Mg1 Mg 0.0409 0.5964 0.2107
Ni1 Ni 0.0000 0.0000 0.5000
```

=====

No. 12
Here is crystalline Cs2ICl2 at its relaxed geometry from Alexandria. Energies are from GGA-PBE.

## Properties
The formation energy without anion corrections comes out at -1.2630 eV per atom. As for the energy: -2.653 eV/atom. The value obtained for the density of states at the Fermi level is 0.845 states/eV/atom.

```
data_Cs2ICl2
_chemical_formula_sum 'Cs4 I2 Cl4'
_space_group_name_H-M_alt 'I 4/m m m'
_space_group_IT_number 139
_space_group_name_Hall '-I 4 2'
_cell_length_a 4.9028
_cell_length_b 4.9028
_cell_length_c 19.1091
_cell_angle_alpha 90.00
_cell_angle_beta 90.00
_cell_angle_gamma 90.00
loop_
_atom_site_label
_atom_site_type_symbol
_atom_site_fract_x
_atom_site_fract_y
_atom_site_fract_z
Cs1 Cs 0.0000 0.0000 0.1238
I1 I 0.0000 0.0000 0.5000
Cl1 Cl 0.0000 0.5000 0.2500
```

=====

What did the first record say?
Here is crystalline Y4Ni2Pd at its relaxed geometry from Alexandria. Energies are from GGA-PBE.

## Properties
As for the energy: -6.520 eV/atom. Its formation energy is -0.432 eV/atom. The value obtained for the density of states at the Fermi level is 0.639 states/eV/atom.

```
data_Y4Ni2Pd
_chemical_formula_sum 'Y8 Ni4 Pd2'
_space_group_name_H-M_alt 'P 1'
_space_group_IT_number 1
_cell_length_a 7.4695
_cell_length_b 7.4767
_cell_length_c 7.4801
_cell_angle_alpha 108.89
_cell_angle_beta 110.61
_cell_angle_gamma 108.83
loop_
_space_group_symop_operation_xyz
'x,y,z'
loop_
_atom_site_label
_atom_site_type_symbol
_atom_site_fract_x
_atom_site_fract_y
_atom_site_fract_z
Y1 Y 0.0000 0.0000 0.0000
Y2 Y 0.0034 0.4994 0.9957
Y3 Y 0.1203 0.2461 0.6195
Y4 Y 0.3937 0.6284 0.5141
Y5 Y 0.5126 0.1214 0.8856
Y6 Y 0.5189 0.1289 0.3902
Y7 Y 0.6238 0.7459 0.1164
Y8 Y 0.8901 0.6226 0.5096
Ni1 Ni 0.2570 0.7497 0.8792
Ni2 Ni 0.6365 0.5018 0.7543
Ni3 Ni 0.7584 0.0015 0.6328
Ni4 Ni 0.8824 0.2501 0.2530
Pd1 Pd 0.1338 0.8741 0.3782
Pd2 Pd 0.3826 0.3743 0.1299
```